The following is a DFT calculation (PBE) of an optimized crystal structure of Mo2C.

The space group is P-3m1 (No. 164) and the conventional cell measures 3.0769, 3.0769 and 4.6457 Å, with angles of 90.00, 90.00 and 120.00 degrees. Symmetry generates all atoms from Mo at (0.3333, 0.6667, 0.2501) and C at (0.0000, 0.0000, 0.0000).

Its spin magnetization is 0.00 μB per cell. The formation energy is -55 meV per atom. The theoretical density is 8.888 g/cm3.

The following is a DFT calculation (PBE) of an optimized crystal structure of Sr4Pa3SnN8.

The space group is R-3m (No. 166, hexagonal axes) and the conventional cell measures 7.3161, 7.3161 and 17.8117 Å, with angles of 90.00, 90.00 and 120.00 degrees. Symmetry generates all atoms from Sr at (0.0000, 0.0000, 0.0000), Sr at (0.0000, 0.5000, 0.0000), Pa at (0.0000, 0.5000, 0.5000), Sn at (0.0000, 0.0000, 0.5000), N at (0.0000, 0.0000, 0.2351) and N at (0.0370, 0.5185, 0.7675).

Its spin magnetization is 0.00 μB per cell. Its formation energy from raw total energies is -1.105 eV/atom. The theoretical density is 7.689 g/cm3.

The following is a DFT calculation (PBE) of an optimized crystal structure of Cr3Ga.

The space group is Fm-3m (No. 225) and the conventional cell measures 5.9214, 5.9214 and 5.9214 Å, with angles of 90.00, 90.00 and 90.00 degrees. Symmetry generates all atoms from Cr at (0.0000, 0.0000, 0.0000), Cr at (0.2500, 0.2500, 0.2500) and Ga at (0.0000, 0.0000, 0.5000).

Its spin magnetization is 11.63 μB per cell. The formation energy is 22 meV per atom. The theoretical density is 7.221 g/cm3.

The following is a DFT calculation (PBE) of an optimized crystal structure of Li2H6Au.

The space group is Fm-3m (No. 225) and the conventional cell measures 6.5819, 6.5819 and 6.5819 Å, with angles of 90.00, 90.00 and 90.00 degrees. Symmetry generates all atoms from Li at (0.2500, 0.2500, 0.2500), H at (0.0000, 0.0000, 0.2373) and Au at (0.0000, 0.0000, 0.5000).

Its spin magnetization is 0.00 μB per cell. The theoretical density is 5.052 g/cm3. The calculation puts the final energy at -109.06 eV per cell.

The following is a DFT calculation (PBE) of an optimized crystal structure of TaTiCr2Se.

The space group is P4/mmm (No. 123) and the conventional cell measures 4.5124, 4.5124 and 4.9340 Å, with angles of 90.00, 90.00 and 90.00 degrees. Symmetry generates all atoms from Ta at (0.0000, 0.0000, 0.0000), Ti at (0.0000, 0.0000, 0.5000), Cr at (0.0000, 0.5000, 0.0000) and Se at (0.5000, 0.5000, 0.5000).

Its spin magnetization is 0.00 μB per cell. Its formation energy from raw total energies is 1.536 eV/atom. The theoretical density is 6.806 g/cm3.

The following is a DFT calculation (PBE) of an optimized crystal structure of ZnReOs.

The space group is F-43m (No. 216) and the conventional cell measures 5.8901, 5.8901 and 5.8901 Å, with angles of 90.00, 90.00 and 90.00 degrees. Symmetry generates all atoms from Zn at (0.0000, 0.0000, 0.0000), Re at (0.0000, 0.0000, 0.5000) and Os at (0.2500, 0.2500, 0.2500).

Its spin magnetization is 0.00 μB per cell. The formation energy is 457 meV per atom. The theoretical density is 14.362 g/cm3.

The following is a DFT calculation (PBE) of an optimized crystal structure of Mg2SiSn.

The space group is P4/mmm (No. 123) and the conventional cell measures 4.4298, 4.4298 and 4.2365 Å, with angles of 90.00, 90.00 and 90.00 degrees. Symmetry generates all atoms from Mg at (0.0000, 0.5000, 0.0000), Si at (0.0000, 0.0000, 0.5000) and Sn at (0.5000, 0.5000, 0.5000).

Its spin magnetization is 0.00 μB per cell. Its formation energy from raw total energies is 0.032 eV/atom. The theoretical density is 3.903 g/cm3.

The following is a DFT calculation (PBE) of an optimized crystal structure of TbDy2Ho5Er.

The space group is Cmc2_1 (No. 36) and the conventional cell measures 5.5477, 19.7116 and 10.4975 Å, with angles of 90.00, 90.00 and 90.00 degrees. Symmetry generates all atoms from Tb at (0.0000, 0.2002, 0.0000), Dy at (0.0000, 0.1099, 0.7257), Dy at (0.0000, 0.1134, 0.3073), Ho at (0.0000, 0.0180, 0.0130), Ho at (0.0000, 0.2813, 0.2967), Ho at (0.0000, 0.3004, 0.6970), Ho at (0.0000, 0.3902, 0.0115), Ho at (0.0000, 0.4795, 0.7274) and Er at (0.0000, 0.4131, 0.4460).

Its spin magnetization is 0.00 μB per cell. The formation energy is 154 meV per atom. The theoretical density is 8.539 g/cm3.

The following is a DFT calculation (PBE) of an optimized crystal structure of RbSBrCl2.

The space group is P4/mmm (No. 123) and the conventional cell measures 6.2686, 6.2686 and 6.8314 Å, with angles of 90.00, 90.00 and 90.00 degrees. Symmetry generates all atoms from Rb at (0.0000, 0.0000, 0.0000), S at (0.0000, 0.0000, 0.5000), Br at (0.5000, 0.5000, 0.5000) and Cl at (0.0000, 0.5000, 0.0000).

Its spin magnetization is 4.01 μB per cell. Its formation energy from raw total energies is 0.319 eV/atom. The theoretical density is 1.660 g/cm3.

The following is a DFT calculation (PBE) of an optimized crystal structure of ReTc3F.

The space group is Pm-3m (No. 221) and the conventional cell measures 4.7366, 4.7366 and 4.7366 Å, with angles of 90.00, 90.00 and 90.00 degrees. Symmetry generates all atoms from Re at (0.0000, 0.0000, 0.0000), Tc at (0.0000, 0.0000, 0.5000) and F at (0.5000, 0.5000, 0.5000).

Its spin magnetization is 4.15 μB per cell. Its formation energy from raw total energies is 1.714 eV/atom. The theoretical density is 7.800 g/cm3.

The following is a DFT calculation (PBE) of an optimized crystal structure of RbNa6Hg12.

The space group is R-3m (No. 166, hexagonal axes) and the conventional cell measures 13.5873, 13.5873 and 10.6840 Å, with angles of 90.00, 90.00 and 120.00 degrees. Symmetry generates all atoms from Rb at (0.0000, 0.0000, 0.0000), Na at (0.0592, 0.5296, 0.2389), Hg at (0.0000, 0.3904, 0.5000) and Hg at (0.0847, 0.1693, 0.2881).

Its spin magnetization is 0.00 μB per cell. The formation energy is -175 meV per atom. The theoretical density is 7.671 g/cm3.

The following is a DFT calculation (PBE) of an optimized crystal structure of MgCu2Pd3.

The space group is P-3m1 (No. 164) and the conventional cell measures 4.3307, 4.3307 and 5.3042 Å, with angles of 90.00, 90.00 and 120.00 degrees. Symmetry generates all atoms from Mg at (0.0000, 0.0000, 0.0000), Cu at (0.3333, 0.6667, 0.6646), Pd at (0.0000, 0.0000, 0.5000) and Pd at (0.3333, 0.6667, 0.1731).

Its spin magnetization is 0.00 μB per cell. The formation energy is -384 meV per atom. The theoretical density is 9.071 g/cm3.

The following is a DFT calculation (PBE) of an optimized crystal structure of Y7FeI12.

The space group is R-3 (No. 148, hexagonal axes) and the conventional cell measures 15.6844, 15.6844 and 10.9196 Å, with angles of 90.00, 90.00 and 120.00 degrees. Symmetry generates all atoms from Y at (0.0000, 0.0000, 0.0000), Y at (0.0422, 0.1548, 0.3661), Fe at (0.0000, 0.0000, 0.5000), I at (0.0199, 0.5866, 0.1583) and I at (0.0494, 0.1757, 0.8359).

Its spin magnetization is 3.18 μB per cell. Its formation energy from raw total energies is -1.181 eV/atom. The theoretical density is 4.713 g/cm3.

The following is a DFT calculation (PBE) of an optimized crystal structure of SrAl6Ag2.

The space group is C2/m (No. 12) and the conventional cell measures 9.8414, 9.8518 and 4.2070 Å, with angles of 90.00, 113.95 and 90.00 degrees. Symmetry generates all atoms from Sr at (0.0000, 0.0000, 0.0000), Al at (0.0000, 0.2661, 0.5000), Al at (0.2139, 0.3387, 0.2124) and Ag at (0.1534, 0.5000, 0.6545).

Its spin magnetization is 0.00 μB per cell. The formation energy is -55 meV per atom. The theoretical density is 4.145 g/cm3.

The following is a DFT calculation (PBE) of an optimized crystal structure of LaScZn.

The space group is P6_3/mmc (No. 194) and the conventional cell measures 4.4137, 4.4137 and 11.8686 Å, with angles of 90.00, 90.00 and 120.00 degrees. Symmetry generates all atoms from La at (0.0000, 0.0000, 0.0000), Sc at (0.0000, 0.0000, 0.2500) and Zn at (0.3333, 0.6667, 0.2500).

Its spin magnetization is 0.00 μB per cell. The formation energy is 746 meV per atom. The theoretical density is 4.134 g/cm3.

The following is a DFT calculation (PBE) of an optimized crystal structure of Ti5MnCo4.

The space group is P4/mmm (No. 123) and the conventional cell measures 2.9920, 2.9920 and 14.6069 Å, with angles of 90.00, 90.00 and 90.00 degrees. Symmetry generates all atoms from Ti at (0.0000, 0.0000, 0.0000), Ti at (0.0000, 0.0000, 0.1999), Ti at (0.0000, 0.0000, 0.4020), Mn at (0.5000, 0.5000, 0.5000), Co at (0.5000, 0.5000, 0.0996) and Co at (0.5000, 0.5000, 0.2967).

Its spin magnetization is 0.00 μB per cell. The formation energy is -387 meV per atom. The theoretical density is 6.730 g/cm3.

The following is a DFT calculation (PBE) of an optimized crystal structure of Ca2InCu.

The space group is P2/m (No. 10) and the conventional cell measures 3.5681, 3.4960 and 8.1904 Å, with angles of 90.00, 90.12 and 90.00 degrees. Symmetry generates all atoms from Ca at (0.9999, 0.0000, 0.2214), In at (0.5000, 0.5000, 0.5000) and Cu at (0.5000, 0.5000, 0.0000).

Its spin magnetization is 0.00 μB per cell. The formation energy is -251 meV per atom. The theoretical density is 4.202 g/cm3.

The following is a DFT calculation (PBE) of an optimized crystal structure of Ba9La2S12.

The space group is C2/m (No. 12) and the conventional cell measures 7.7959, 13.5030 and 14.7786 Å, with angles of 90.00, 100.12 and 90.00 degrees. Symmetry generates all atoms from Ba at (0.0000, 0.0000, 0.0000), Ba at (0.0000, 0.3307, 0.0000), Ba at (0.2410, 0.3391, 0.7403), Ba at (0.2418, 0.5000, 0.2594), La at (0.0000, 0.1666, 0.5000), S at (0.0948, 0.0000, 0.3882), S at (0.1231, 0.1665, 0.8688), S at (0.1242, 0.5000, 0.8738) and S at (0.1467, 0.3160, 0.3883).

Its spin magnetization is 0.00 μB per cell. Its formation energy from raw total energies is -2.073 eV/atom. The theoretical density is 4.117 g/cm3.

The following is a DFT calculation (PBE) of an optimized crystal structure of Ho8ScBi6.

The space group is R-3 (No. 148, hexagonal axes) and the conventional cell measures 7.5665, 7.5665 and 29.3530 Å, with angles of 90.00, 90.00 and 120.00 degrees. Symmetry generates all atoms from Ho at (0.0000, 0.0000, 0.1670), Ho at (0.0033, 0.6594, 0.3790), Sc at (0.0000, 0.0000, 0.5000) and Bi at (0.0019, 0.6769, 0.5607).

Its spin magnetization is 0.00 μB per cell. The formation energy is -470 meV per atom. The theoretical density is 8.962 g/cm3.

The following is a DFT calculation (PBE) of an optimized crystal structure of Er3Si3Pt2.

The space group is Pnma (No. 62) and the conventional cell measures 7.8590, 14.1132 and 5.6268 Å, with angles of 90.00, 90.00 and 90.00 degrees. Symmetry generates all atoms from Er at (0.0388, 0.1113, 0.1287), Er at (0.1847, 0.2500, 0.6198), Si at (0.1748, 0.7500, 0.6087), Si at (0.1924, 0.0400, 0.6049) and Pt at (0.0956, 0.6037, 0.3721).

Its spin magnetization is 0.00 μB per cell. Its formation energy from raw total energies is -1.064 eV/atom. The theoretical density is 10.389 g/cm3.